one:
DFT (GGA-PBE) results for crystalline TiBTeI2 at its relaxed geometry.

```
data_TiBTeI2
_cell_length_a 4.9872
_cell_length_b 4.9872
_cell_length_c 4.9810
_cell_angle_alpha 90.00
_cell_angle_beta 90.00
_cell_angle_gamma 90.00
_symmetry_space_group_name_H-M 'P 4/m m m'
_symmetry_Int_Tables_number 123
_symmetry_space_group_name_Hall '-P 4 2'
loop_
_atom_site_label
_atom_site_type_symbol
_atom_site_fract_x
_atom_site_fract_y
_atom_site_fract_z
_atom_site_occupancy
Ti1 Ti 0.0000 0.0000 0.0000 1
B1 B 0.5000 0.5000 0.5000 1
Te1 Te 0.5000 0.5000 0.0000 1
I1 I 0.0000 0.5000 0.5000 1
```

***

two:
DFT (GGA-PBE) results for crystalline TiBTeI2 at its relaxed geometry.

```
data_TiBTeI2
_cell_length_a 5.6154
_cell_length_b 5.6154
_cell_length_c 5.3300
_cell_angle_alpha 90.00
_cell_angle_beta 90.00
_cell_angle_gamma 90.00
_symmetry_space_group_name_H-M 'P 4/m m m'
_symmetry_Int_Tables_number 123
_symmetry_space_group_name_Hall '-P 4 2'
loop_
_atom_site_label
_atom_site_type_symbol
_atom_site_fract_x
_atom_site_fract_y
_atom_site_fract_z
_atom_site_occupancy
Ti1 Ti 0.0000 0.0000 0.0000 1
B1 B 0.5000 0.5000 0.5000 1
Te1 Te 0.0000 0.0000 0.5000 1
I1 I 0.0000 0.5000 0.0000 1
```

***

Stability summary: most stable two, least stable one.